Record 1
# CaLa3Ir, relaxed, DFT PBE
data_CaLa3Ir
_chemical_formula_sum 'Ca2 La6 Ir2'
_cell_length_a 18.267
_cell_length_b 6.665
_cell_length_c 6.665
_cell_angle_alpha 130.52
_cell_angle_beta 140.23
_cell_angle_gamma 39.77
_symmetry_space_group_name_H-M 'P 1'
_symmetry_Int_Tables_number 1
loop_
_symmetry_equiv_pos_as_xyz
'x,y,z'
loop_
_atom_site_label
_atom_site_fract_x
_atom_site_fract_y
_atom_site_fract_z
La1 0.185 0.691 0.309
Ir1 0.143 0.972 0.028
La2 0.815 0.309 0.691
La3 0.404 0.766 0.234
La4 0.989 0.664 0.336
La5 0.596 0.234 0.766
Ca1 0.325 0.181 0.819
La6 0.011 0.336 0.664
Ca2 0.675 0.819 0.181
Ir2 0.857 0.028 0.972
# ΔE_f	-283.3	meV/atom
# crystal system	monoclinic
# symmetry	C2/m (12)
# ΔE to the lowest computed polymorph	67	meV/atom
# N(E_F)	13.6	states/eV/cell

***

Record 2
# CsNiSb, relaxed, DFT PBE
data_CsNiSb
_chemical_formula_sum 'Cs2 Ni2 Sb2'
_cell_length_a 4.471
_cell_length_b 3.871
_cell_length_c 13.322
_cell_angle_alpha 87.81
_cell_angle_beta 95.64
_cell_angle_gamma 64.27
_symmetry_space_group_name_H-M 'P 1'
_symmetry_Int_Tables_number 1
loop_
_symmetry_equiv_pos_as_xyz
'x,y,z'
loop_
_atom_site_label
_atom_site_fract_x
_atom_site_fract_y
_atom_site_fract_z
Cs1 0.365 0.360 0.690
Sb1 0.836 0.596 0.896
Ni1 0.723 0.135 0.031
Ni2 0.277 0.865 0.969
Cs2 0.635 0.640 0.310
Sb2 0.164 0.404 0.104
# crystal system	triclinic
# symmetry	P-1 (2)
# energy relative to the elements, uncorrected	-0.138	eV per atom
# N(E_F)	3.2	states/eV/cell

***

Record 3
# Mg2ZnNi, relaxed, DFT PBE
data_Mg2ZnNi
_chemical_formula_sum 'Mg2 Zn1 Ni1'
_cell_length_a 9.183
_cell_length_b 9.183
_cell_length_c 9.183
_cell_angle_alpha 18.48
_cell_angle_beta 18.48
_cell_angle_gamma 18.48
_symmetry_space_group_name_H-M 'P 1'
_symmetry_Int_Tables_number 1
loop_
_symmetry_equiv_pos_as_xyz
'x,y,z'
loop_
_atom_site_label
_atom_site_fract_x
_atom_site_fract_y
_atom_site_fract_z
Zn1 0.762 0.762 0.762
Ni1 0.496 0.496 0.496
Mg1 0.237 0.237 0.237
Mg2 0.005 0.005 0.005
# ΔE_f	39.2	meV/atom
# crystal system	trigonal
# symmetry	R3m (160)
# N(E_F)	2.6	states/eV/cell

***

Record 4
# Sm6NiHg2, relaxed, DFT PBE
data_Sm6NiHg2
_chemical_formula_sum 'Sm12 Ni2 Hg4'
_cell_length_a 8.763
_cell_length_b 8.763
_cell_length_c 8.763
_cell_angle_alpha 74.15
_cell_angle_beta 69.55
_cell_angle_gamma 112.18
_symmetry_space_group_name_H-M 'P 1'
_symmetry_Int_Tables_number 1
loop_
_symmetry_equiv_pos_as_xyz
'x,y,z'
loop_
_atom_site_label
_atom_site_fract_x
_atom_site_fract_y
_atom_site_fract_z
Hg1 0.351 0.000 0.649
Sm1 0.668 0.398 0.270
Ni1 0.500 0.500 0.000
Sm2 0.332 0.062 0.270
Sm3 0.167 0.248 0.585
Sm4 0.668 0.938 0.730
Sm5 0.910 0.728 0.819
Ni2 0.000 0.000 0.000
Sm6 0.833 0.248 0.920
Hg2 0.649 0.000 0.351
Sm7 0.167 0.752 0.080
Sm8 0.547 0.728 0.181
Sm9 0.090 0.272 0.181
Hg3 0.145 0.645 0.500
Sm10 0.453 0.272 0.819
Sm11 0.833 0.752 0.415
Sm12 0.332 0.602 0.730
Hg4 0.855 0.355 0.500
# ΔE_f	-187.8	meV/atom
# crystal system	orthorhombic
# symmetry	Immm (71)
# ΔE to the lowest computed polymorph	32	meV/atom
# N(E_F)	18.4	states/eV/cell

***

Record 5
# Ga2Ag2Hg, relaxed, DFT PBE
data_Ga2Ag2Hg
_chemical_formula_sum 'Ga4 Ag4 Hg2'
_cell_length_a 8.248
_cell_length_b 8.248
_cell_length_c 2.886
_cell_angle_alpha 90.00
_cell_angle_beta 90.00
_cell_angle_gamma 90.00
_symmetry_space_group_name_H-M 'P 1'
_symmetry_Int_Tables_number 1
loop_
_symmetry_equiv_pos_as_xyz
'x,y,z'
loop_
_atom_site_label
_atom_site_fract_x
_atom_site_fract_y
_atom_site_fract_z
Ag1 0.819 0.319 0.500
Ag2 0.319 0.181 0.500
Ag3 0.181 0.681 0.500
Hg1 0.500 0.500 0.000
Ag4 0.681 0.819 0.500
Ga1 0.617 0.117 0.000
Ga2 0.883 0.617 0.000
Hg2 0.000 0.000 0.000
Ga3 0.383 0.883 0.000
Ga4 0.117 0.383 0.000
# ΔE_f	43.7	meV/atom
# crystal system	tetragonal
# symmetry	P4/mbm (127)
# ΔE to the lowest computed polymorph	0	meV/atom
# N(E_F)	3.3	states/eV/cell

***

Record 6
# La3GeOs, relaxed, DFT PBE
data_La3GeOs
_chemical_formula_sum 'La6 Ge2 Os2'
_cell_length_a 4.401
_cell_length_b 8.092
_cell_length_c 8.573
_cell_angle_alpha 92.17
_cell_angle_beta 89.98
_cell_angle_gamma 105.72
_symmetry_space_group_name_H-M 'P 1'
_symmetry_Int_Tables_number 1
loop_
_symmetry_equiv_pos_as_xyz
'x,y,z'
loop_
_atom_site_label
_atom_site_fract_x
_atom_site_fract_y
_atom_site_fract_z
La1 0.971 0.976 0.042
La2 0.073 0.178 0.379
Os1 0.827 0.689 0.807
La3 0.778 0.588 0.406
Ge1 0.628 0.289 0.135
La4 0.643 0.317 0.761
Os2 0.217 0.465 0.614
La5 0.266 0.566 0.015
La6 0.401 0.837 0.660
Ge2 0.416 0.865 0.287
# ΔE_f	-391.7	meV/atom
# crystal system	triclinic
# symmetry	P-1 (2)
# ΔE to the lowest computed polymorph	30	meV/atom
# N(E_F)	7.2	states/eV/cell

***

Record 7
# NaTlSb, relaxed, DFT PBE
data_NaTlSb
_chemical_formula_sum 'Na2 Tl2 Sb2'
_cell_length_a 4.264
_cell_length_b 6.233
_cell_length_c 8.733
_cell_angle_alpha 110.58
_cell_angle_beta 104.13
_cell_angle_gamma 90.00
_symmetry_space_group_name_H-M 'P 1'
_symmetry_Int_Tables_number 1
loop_
_symmetry_equiv_pos_as_xyz
'x,y,z'
loop_
_atom_site_label
_atom_site_fract_x
_atom_site_fract_y
_atom_site_fract_z
Na1 0.173 0.671 0.345
Tl1 0.623 0.121 0.245
Sb1 0.000 0.759 0.999
Sb2 0.000 0.241 0.001
Na2 0.827 0.329 0.655
Tl2 0.377 0.879 0.755
# crystal system	monoclinic
# symmetry	C2/m (12)
# energy relative to the elements, uncorrected	-0.084	eV per atom
# ΔE to the lowest computed polymorph	127	meV/atom
# N(E_F)	1.8	states/eV/cell

***

Record 8
# Tb4CeNd5, relaxed, DFT PBE
data_Tb4CeNd5
_chemical_formula_sum 'Tb4 Ce1 Nd5'
_cell_length_a 3.527
_cell_length_b 11.069
_cell_length_c 9.188
_cell_angle_alpha 73.52
_cell_angle_beta 101.06
_cell_angle_gamma 90.00
_symmetry_space_group_name_H-M 'P 1'
_symmetry_Int_Tables_number 1
loop_
_symmetry_equiv_pos_as_xyz
'x,y,z'
loop_
_atom_site_label
_atom_site_fract_x
_atom_site_fract_y
_atom_site_fract_z
Nd1 0.206 0.399 0.411
Tb1 0.907 0.812 0.813
Nd2 0.794 0.601 0.589
Tb2 0.695 0.919 0.390
Nd3 0.896 0.283 0.792
Nd4 0.104 0.717 0.208
Tb3 0.093 0.188 0.187
Ce1 0.500 0.000 0.000
Tb4 0.305 0.081 0.610
Nd5 0.500 0.500 0.000
# ΔE_f	102.9	meV/atom
# crystal system	monoclinic
# symmetry	C2/m (12)
# N(E_F)	17.0	states/eV/cell

***

Magnetization, record by record: 0.0; 0.0; 0.0; 0.0; 0.0; 0.0; 0.0; 0.4 Bohr magnetons per cell